# RbZrAuSe3

A relaxed structure of RbZrAuSe3 (PBE, the Open Quantum Materials Database).

Lattice parameters (Å, degrees): 9.2718 9.2718 8.9760 95.34 95.34 24.21
Last column: nearest neighbours and their distance in Å.
Positions (direct):
1 Rb 0.1372 0.1372 0.0881  7 Se 3.20-3.45
2 Rb 0.8628 0.8628 0.9119  7 Se 3.20-3.45
3 Zr 0.1556 0.1556 0.5853  6 Se 2.71-2.91
4 Zr 0.8444 0.8444 0.4147  6 Se 2.71-2.91
5 Au 0.4574 0.4574 0.2745  4 Se 2.57-2.86
6 Au 0.5426 0.5426 0.7255  4 Se 2.57-2.86
7 Se 0.0000 0.0000 0.5000  2 Zr 2.85, 4 Au 2.86
8 Se 0.3166 0.3166 0.2063  1 Au 2.57, 2 Zr 2.71
9 Se 0.3167 0.3167 0.6120  3 Zr 2.71-2.91
10 Se 0.5000 0.5000 0.0000  2 Au 2.65
11 Se 0.6833 0.6833 0.3880  3 Zr 2.71-2.91
12 Se 0.6834 0.6834 0.7937  1 Au 2.57, 2 Zr 2.71

## Properties
calculated volume: 26.246 A^3/atom
M_tot: 0.00 μB/atom
crystal system: monoclinic
raw total energy: -57.1 eV for the cell shown
space-group type: No. 12

# BaMgHg2Pd

A relaxed structure of BaMgHg2Pd (PBE, the Open Quantum Materials Database).

Lattice parameters (Å, degrees): 7.6357 7.6357 7.6357 146.99 146.99 47.38
Last column: nearest neighbours and their distance in Å.
Positions (direct):
1 Ba 0.0000 0.0000 0.0000  8 Hg 3.48
2 Mg 0.7500 0.2500 0.5000  4 Hg 2.85, 4 Pd 3.07
3 Hg 0.3822 0.3822 0.0000  2 Mg 2.85, 2 Pd 2.85
4 Hg 0.6178 0.6178 0.0000  2 Mg 2.85, 2 Pd 2.85
5 Pd 0.2500 0.7500 0.5000  4 Hg 2.85, 4 Mg 3.07

## Properties
calculated volume: 26.328 A^3/atom
crystal system: tetragonal
raw total energy: -11.3 eV for the cell shown
space-group type: No. 119

# Y4NiBiN2

A relaxed structure of Y4NiBiN2 (PBE, the Open Quantum Materials Database).

Lattice parameters (Å, degrees): 3.5693 3.5693 14.4426 90.00 90.00 120.00
Last column: nearest neighbours and their distance in Å.
Positions (direct):
1 Y 0.0000 0.0000 0.1319  3 N 2.60, 3 Ni 2.81
2 Y 0.0000 0.0000 0.8681  3 N 2.60, 3 Ni 2.81
3 Y 0.6667 0.3333 0.3205  3 N 2.36
4 Y 0.6667 0.3333 0.6795  3 N 2.36
5 Ni 0.6667 0.3333 0.0000  6 Y 2.81
6 Bi 0.0000 0.0000 0.5000  6 Y 3.31, 6 Bi 3.57
7 N 0.3333 0.6667 0.2411  6 Y 2.36-2.60
8 N 0.3333 0.6667 0.7589  6 Y 2.36-2.60

## Properties
calculated volume: 19.918 A^3/atom
M_tot: 0.00 μB/atom
crystal system: hexagonal
raw total energy: -60.0 eV for the cell shown
space-group type: No. 187

# Ba2NdTaO6

A relaxed structure of Ba2NdTaO6 (PBE, the Open Quantum Materials Database).

Lattice parameters (Å, degrees): 6.0614 6.0614 6.1184 119.96 119.96 60.09
Last column: nearest neighbours and their distance in Å.
Positions (direct):
1 Ba 0.2486 0.2486 0.2435  5 O 2.72-2.85
2 Ba 0.7514 0.7514 0.7565  5 O 2.72-2.85
3 Nd 0.0000 0.0000 0.5000  6 O 2.34
4 Ta 0.5000 0.5000 0.0000  6 O 2.01
5 O 0.2339 0.6998 0.1960  1 Ta 2.01
6 O 0.2700 0.2700 0.7087  1 Ta 2.01
7 O 0.3002 0.7661 0.8040  1 Ta 2.01
8 O 0.6998 0.2339 0.1960  1 Ta 2.01
9 O 0.7300 0.7300 0.2913  1 Ta 2.01
10 O 0.7661 0.3002 0.8040  1 Ta 2.01

## Properties
calculated volume: 15.916 A^3/atom
M_tot: 0.00 μB/atom
crystal system: monoclinic
raw total energy: -80.9 eV for the cell shown
space-group type: No. 12